Computed, not measured: BaTaNb2Cl after structural relaxation at the PBE level of DFT.

Output
* E_form (uncorrected): 829 meV per atom

Lattice parameters (Å, degrees): 4.922 4.922 6.201 90.00 90.00 90.00
Space group P4/mmm (No. 123)
One atom of each set of equivalent atoms:
1 Ba 0.000 0.000 0.000 (multiplicity 1)
2 Ta 0.500 0.500 0.500 (multiplicity 1)
3 Nb 0.000 0.500 0.500 (multiplicity 2)
4 Cl 0.500 0.500 0.000 (multiplicity 1)

Computed, not measured: Ba2NdCl6 after structural relaxation at the PBE level of DFT.

Output
* E_form (uncorrected): -2242 meV per atom

Lattice parameters (Å, degrees): 7.249 7.249 12.927 90.00 90.00 90.00
Space group P4_2/mnm (No. 136)
One atom of each set of equivalent atoms:
1 Ba 0.000 0.000 0.176 (multiplicity 4)
2 Nd 0.000 0.000 0.500 (multiplicity 2)
3 Cl 0.204 0.204 0.351 (multiplicity 8)
4 Cl 0.222 0.222 0.000 (multiplicity 4)

Computed, not measured: BaNdCl5 after structural relaxation at the PBE level of DFT.

Output
* E_form (uncorrected): -2394 meV per atom

Lattice parameters (Å, degrees): 5.575 19.818 7.038 90.00 93.47 90.00
Space group C2/c (No. 15)
One atom of each set of equivalent atoms:
1 Ba 0.000 0.174 0.250 (multiplicity 4)
2 Nd 0.000 0.423 0.250 (multiplicity 4)
3 Cl 0.000 0.126 0.750 (multiplicity 4)
4 Cl 0.007 0.310 0.998 (multiplicity 8)
5 Cl 0.243 0.465 0.600 (multiplicity 8)

Number 1: total moment 1.4 μB per cell. Number 2: total moment 2.0 μB per cell. Number 3: total moment 0.0 μB per cell.